Entry 1:
DFT (PBE-GGA) results for an optimized crystal structure of Pu3Co5Te12.

Cell lengths 14.0837, 14.0837, 14.0837 Å; angles 109.47, 109.47, 109.47 degrees
Each line ends with the local moment (μB).
Sites, in units of the cell vectors:
Pu  0.2500  0.1250  0.3750  5.23
Pu  0.2500  0.6250  0.8750  5.23
Pu  0.7500  0.3750  0.1250  5.23
Pu  0.1250  0.8750  0.7500  5.23
Pu  0.6250  0.3750  0.7500  5.23
Pu  0.7500  0.8750  0.6250  5.23
Pu  0.8750  0.1250  0.2500  5.23
Pu  0.8750  0.7500  0.1250  5.23
Pu  0.3750  0.7500  0.6250  5.23
Pu  0.6250  0.2500  0.3750  5.23
Pu  0.1250  0.2500  0.8750  5.23
Pu  0.3750  0.6250  0.2500  5.23
Co  0.8750  0.6250  0.7500  1.16
Co  0.6250  0.7500  0.8750  1.16
Co  0.0000  0.0000  0.5000  0.07
Co  0.5000  0.0000  0.0000  0.07
Co  0.8750  0.2500  0.6250  1.16
Co  0.5000  0.0000  0.5000  0.07
Co  0.7500  0.6250  0.3750  1.16
Co  0.2500  0.3750  0.6250  1.16
Co  0.0000  0.5000  0.0000  0.07
Co  0.1250  0.7500  0.3750  1.16
Co  0.5000  0.5000  0.5000  0.07
Co  0.7500  0.1250  0.8750  1.16
Co  0.6250  0.8750  0.2500  1.16
Co  0.3750  0.2500  0.1250  1.16
Co  0.0000  0.0000  0.0000  0.07
Co  0.3750  0.1250  0.7500  1.16
Co  0.5000  0.5000  0.0000  0.07
Co  0.1250  0.3750  0.2500  1.16
Co  0.0000  0.5000  0.5000  0.07
Co  0.2500  0.8750  0.1250  1.16
Te  0.6124  0.5872  0.9095  -0.03
Te  0.7971  0.3223  0.9095  -0.03
Te  0.6124  0.0251  0.2029  -0.03
Te  0.8876  0.5905  0.9128  -0.03
Te  0.2029  0.6777  0.0905  -0.03
Te  0.9749  0.3876  0.2971  -0.03
Te  0.6777  0.2029  0.5905  -0.03
Te  0.7029  0.5905  0.1777  -0.03
Te  0.4095  0.1124  0.5872  -0.03
Te  0.9128  0.0905  0.8876  -0.03
Te  0.5905  0.7029  0.6777  -0.03
Te  0.1777  0.0872  0.9749  -0.03
Te  0.2029  0.5251  0.6124  -0.03
Te  0.5905  0.8876  0.4128  -0.03
Te  0.5251  0.2029  0.1124  -0.03
Te  0.7971  0.4749  0.3876  -0.03
Te  0.0251  0.4128  0.8223  -0.03
Te  0.2971  0.4095  0.8223  -0.03
Te  0.8876  0.2971  0.4749  -0.03
Te  0.9749  0.5872  0.1777  -0.03
Te  0.3223  0.7971  0.4095  -0.03
Te  0.9095  0.8223  0.7971  -0.03
Te  0.4128  0.0251  0.3223  -0.03
Te  0.4128  0.3876  0.5905  -0.03
Te  0.5872  0.9749  0.6777  -0.03
Te  0.1777  0.0905  0.7029  -0.03
Te  0.6777  0.4749  0.5872  -0.03
Te  0.3223  0.5251  0.4128  -0.03
Te  0.8223  0.9095  0.2971  -0.03
Te  0.3876  0.9749  0.7971  -0.03
Te  0.4749  0.7971  0.8876  -0.03
Te  0.5872  0.6124  0.4095  -0.03
Te  0.0872  0.9095  0.1124  -0.03
Te  0.4095  0.2971  0.3223  -0.03
Te  0.0905  0.9128  0.3876  -0.03
Te  0.9128  0.8223  0.5251  -0.03
Te  0.0905  0.1777  0.2029  -0.03
Te  0.7029  0.1124  0.0251  -0.03
Te  0.1124  0.4095  0.0872  -0.03
Te  0.0251  0.6124  0.7029  -0.03
Te  0.3876  0.4128  0.0905  -0.03
Te  0.1124  0.7029  0.5251  -0.03
Te  0.9095  0.0872  0.6124  -0.03
Te  0.4749  0.6777  0.0872  -0.03
Te  0.0872  0.1777  0.4749  -0.03
Te  0.2971  0.8876  0.9749  -0.03
Te  0.8223  0.9128  0.0251  -0.03
Te  0.5251  0.3223  0.9128  -0.03

Output
- total magnetization (μB/cell) = 78.61
- calculated total energy (eV per cell) = -490.1
- theoretical density (Mg/m³) = 7.90
- raw formation energy (eV per atom) = -0.3146

Entry 2:
DFT (PBE-GGA) results for an optimized crystal structure of GaCI2.

Cell lengths 5.2902, 5.2902, 5.2902 Å; angles 60.00, 60.00, 60.00 degrees
Each line ends with the local moment (μB).
Sites, in units of the cell vectors:
Ga  0.5000  0.5000  0.5000  -0.02
I  0.2500  0.2500  0.2500  -0.11
I  0.7500  0.7500  0.7500  -0.11
C  0.0000  0.0000  0.0000  0.65

Output
- total magnetization (μB/cell) = 1.00
- calculated total energy (eV per cell) = -8.9
- theoretical density (Mg/m³) = 5.32
- raw formation energy (eV per atom) = 1.6228

Entry 3:
DFT (PBE-GGA) results for an optimized crystal structure of Hf2Pd3Au2.

Cell lengths 4.1088, 5.0349, 6.6522 Å; angles 100.58, 90.00, 114.08 degrees
Sites, in units of the cell vectors:
Hf  0.1984  0.3967  0.1749
Hf  0.8016  0.6033  0.8251
Pd  0.5000  0.0000  0.0000
Pd  0.6376  0.2751  0.4254
Pd  0.3624  0.7249  0.5746
Au  0.9114  0.8228  0.2664
Au  0.0886  0.1772  0.7336

Output
- total magnetization (μB/cell) = 0.00
- calculated total energy (eV per cell) = -46.5
- theoretical density (Mg/m³) = 14.44
- formation enthalpy at 0 K (eV per atom) = -0.632

> The highest calculated total energy belongs to which entry?

GaCI2